# 1
Below is a relaxed CeNdPu2Bi4 crystal, with properties calculated at the PBE level.

Results
raw total energy	-0.2742	Ha/atom
space group	P2/m (10)

CIF file:
```
data_CeNdPu2Bi4
_chemical_formula_sum 'Ce1 Nd1 Pu2 Bi4'
_cell_length_a 7.9092
_cell_length_b 4.5788
_cell_length_c 7.9244
_cell_angle_alpha 90.00
_cell_angle_beta 109.53
_cell_angle_gamma 90.00
_symmetry_space_group_name_H-M 'P 1'
_symmetry_Int_Tables_number 1
_symmetry_space_group_name_Hall 'P 1'
loop_
_atom_site_label
_atom_site_type_symbol
_atom_site_fract_x
_atom_site_fract_y
_atom_site_fract_z
_atom_site_occupancy
Ce1 Ce 0.0000 0.0000 0.0000 1
Nd1 Nd 0.0000 0.5000 0.5000 1
Pu1 Pu 0.5000 0.0000 0.5000 1
Pu2 Pu 0.5000 0.5000 0.0000 1
Bi1 Bi 0.2528 0.5000 0.2491 1
Bi2 Bi 0.2548 0.0000 0.7537 1
Bi3 Bi 0.7452 0.0000 0.2463 1
Bi4 Bi 0.7472 0.5000 0.7509 1
```

---

# 2
Below is a relaxed HoSnTe crystal, with properties calculated at the PBE level.

Results
raw formation energy	-0.926	eV/atom
space group	I4/mmm (139)

CIF file:
```
data_HoSnTe
_chemical_formula_sum 'Ho4 Sn4 Te4'
_cell_length_a 4.2106
_cell_length_b 4.2106
_cell_length_c 19.0166
_cell_angle_alpha 90.00
_cell_angle_beta 90.00
_cell_angle_gamma 90.00
_symmetry_space_group_name_H-M 'P 1'
_symmetry_Int_Tables_number 1
_symmetry_space_group_name_Hall 'P 1'
loop_
_atom_site_label
_atom_site_type_symbol
_atom_site_fract_x
_atom_site_fract_y
_atom_site_fract_z
_atom_site_occupancy
Ho1 Ho 0.0000 0.0000 0.1411 1
Ho2 Ho 0.0000 0.0000 0.8589 1
Ho3 Ho 0.5000 0.5000 0.3589 1
Ho4 Ho 0.5000 0.5000 0.6411 1
Sn1 Sn 0.0000 0.5000 0.0000 1
Sn2 Sn 0.0000 0.5000 0.5000 1
Sn3 Sn 0.5000 0.0000 0.0000 1
Sn4 Sn 0.5000 0.0000 0.5000 1
Te1 Te 0.0000 0.0000 0.3107 1
Te2 Te 0.0000 0.0000 0.6893 1
Te3 Te 0.5000 0.5000 0.1893 1
Te4 Te 0.5000 0.5000 0.8107 1
```

---

# 3
Below is a relaxed K2Na4Tl2In crystal, with properties calculated at the PBE level.

Results
raw total energy	-0.0631	Ha/atom
space group	C2/m (12)

CIF file:
```
data_K2Na4Tl2In
_chemical_formula_sum 'K2 Na4 Tl2 In1'
_cell_length_a 8.6601
_cell_length_b 8.6601
_cell_length_c 5.7563
_cell_angle_alpha 109.18
_cell_angle_beta 109.18
_cell_angle_gamma 52.01
_symmetry_space_group_name_H-M 'P 1'
_symmetry_Int_Tables_number 1
_symmetry_space_group_name_Hall 'P 1'
loop_
_atom_site_label
_atom_site_type_symbol
_atom_site_fract_x
_atom_site_fract_y
_atom_site_fract_z
_atom_site_occupancy
K1 K 0.1342 0.1342 0.1381 1
K2 K 0.8658 0.8658 0.8619 1
Na1 Na 0.1710 0.5884 0.3754 1
Na2 Na 0.4116 0.8290 0.6246 1
Na3 Na 0.5884 0.1710 0.3754 1
Na4 Na 0.8290 0.4116 0.6246 1
Tl1 Tl 0.2943 0.2943 0.7927 1
Tl2 Tl 0.7057 0.7057 0.2073 1
In1 In 0.5000 0.5000 0.0000 1
```

---

# 4
Below is a relaxed NdTc2H8 crystal, with properties calculated at the PBE level.

Results
raw total energy	-0.1791	Ha/atom
space group	Cm (8)

CIF file:
```
data_NdTc2H8
_chemical_formula_sum 'Nd1 Tc2 H8'
_cell_length_a 4.7133
_cell_length_b 4.7133
_cell_length_c 4.5864
_cell_angle_alpha 91.32
_cell_angle_beta 91.32
_cell_angle_gamma 118.47
_symmetry_space_group_name_H-M 'P 1'
_symmetry_Int_Tables_number 1
_symmetry_space_group_name_Hall 'P 1'
loop_
_atom_site_label
_atom_site_type_symbol
_atom_site_fract_x
_atom_site_fract_y
_atom_site_fract_z
_atom_site_occupancy
Nd1 Nd 0.0000 0.0000 0.0000 1
Tc1 Tc 0.2725 0.5880 0.5269 1
Tc2 Tc 0.5880 0.2725 0.5269 1
H1 H 0.1048 0.5741 0.1908 1
H2 H 0.1943 0.9390 0.4847 1
H3 H 0.4868 0.4868 0.8229 1
H4 H 0.5165 0.9617 0.7754 1
H5 H 0.5617 0.5617 0.2803 1
H6 H 0.5741 0.1048 0.1908 1
H7 H 0.9390 0.1943 0.4847 1
H8 H 0.9617 0.5165 0.7754 1
```

---

# 5
Below is a relaxed LiCdAg14 crystal, with properties calculated at the PBE level.

Results
raw total energy	-0.0992	Ha/atom
space group	Amm2 (38)

CIF file:
```
data_LiCdAg14
_chemical_formula_sum 'Li1 Cd1 Ag14'
_cell_length_a 9.4862
_cell_length_b 5.8935
_cell_length_c 5.8935
_cell_angle_alpha 60.34
_cell_angle_beta 90.00
_cell_angle_gamma 90.00
_symmetry_space_group_name_H-M 'P 1'
_symmetry_Int_Tables_number 1
_symmetry_space_group_name_Hall 'P 1'
loop_
_atom_site_label
_atom_site_type_symbol
_atom_site_fract_x
_atom_site_fract_y
_atom_site_fract_z
_atom_site_occupancy
Li1 Li 0.0000 0.0000 0.0000 1
Cd1 Cd 0.0000 0.4998 0.4998 1
Ag1 Ag 0.0000 0.9997 0.4991 1
Ag2 Ag 0.0000 0.4991 0.9997 1
Ag3 Ag 0.2480 0.8332 0.8332 1
Ag4 Ag 0.2490 0.3286 0.8347 1
Ag5 Ag 0.2490 0.8347 0.3286 1
Ag6 Ag 0.2497 0.3316 0.3316 1
Ag7 Ag 0.5000 0.1643 0.6648 1
Ag8 Ag 0.5000 0.1646 0.1646 1
Ag9 Ag 0.5000 0.6648 0.1643 1
Ag10 Ag 0.5000 0.6645 0.6645 1
Ag11 Ag 0.7503 0.3316 0.3316 1
Ag12 Ag 0.7510 0.3286 0.8347 1
Ag13 Ag 0.7510 0.8347 0.3286 1
Ag14 Ag 0.7520 0.8332 0.8332 1
```

---

# 6
Below is a relaxed ScSiP crystal, with properties calculated at the PBE level.

Results
raw formation energy	-0.168	eV/atom
space group	F-43m (216)

CIF file:
```
data_ScSiP
_chemical_formula_sum 'Sc4 Si4 P4'
_cell_length_a 6.1596
_cell_length_b 6.1596
_cell_length_c 6.1596
_cell_angle_alpha 90.00
_cell_angle_beta 90.00
_cell_angle_gamma 90.00
_symmetry_space_group_name_H-M 'P 1'
_symmetry_Int_Tables_number 1
_symmetry_space_group_name_Hall 'P 1'
loop_
_atom_site_label
_atom_site_type_symbol
_atom_site_fract_x
_atom_site_fract_y
_atom_site_fract_z
_atom_site_occupancy
Sc1 Sc 0.0000 0.0000 0.0000 1
Sc2 Sc 0.0000 0.5000 0.5000 1
Sc3 Sc 0.5000 0.0000 0.5000 1
Sc4 Sc 0.5000 0.5000 0.0000 1
Si1 Si 0.0000 0.0000 0.5000 1
Si2 Si 0.0000 0.5000 0.0000 1
Si3 Si 0.5000 0.0000 0.0000 1
Si4 Si 0.5000 0.5000 0.5000 1
P1 P 0.2500 0.2500 0.2500 1
P2 P 0.2500 0.7500 0.7500 1
P3 P 0.7500 0.2500 0.7500 1
P4 P 0.7500 0.7500 0.2500 1
```

---

# 7
Below is a relaxed CsHfS2Cl crystal, with properties calculated at the PBE level.

Results
raw formation energy	1.138	eV/atom
space group	P4/mmm (123)

CIF file:
```
data_CsHfS2Cl
_chemical_formula_sum 'Cs1 Hf1 S2 Cl1'
_cell_length_a 5.3777
_cell_length_b 5.3777
_cell_length_c 5.8507
_cell_angle_alpha 90.00
_cell_angle_beta 90.00
_cell_angle_gamma 90.00
_symmetry_space_group_name_H-M 'P 1'
_symmetry_Int_Tables_number 1
_symmetry_space_group_name_Hall 'P 1'
loop_
_atom_site_label
_atom_site_type_symbol
_atom_site_fract_x
_atom_site_fract_y
_atom_site_fract_z
_atom_site_occupancy
Cs1 Cs 0.0000 0.0000 0.0000 1
Hf1 Hf 0.5000 0.5000 0.5000 1
S1 S 0.0000 0.5000 0.0000 1
S2 S 0.5000 0.0000 0.0000 1
Cl1 Cl 0.0000 0.0000 0.5000 1
```

---

# 8
Below is a relaxed LaScPb2 crystal, with properties calculated at the PBE level.

Results
raw total energy	-0.1804	Ha/atom
space group	P4mm (99)

CIF file:
```
data_LaScPb2
_chemical_formula_sum 'La1 Sc1 Pb2'
_cell_length_a 4.5027
_cell_length_b 4.5027
_cell_length_c 6.3170
_cell_angle_alpha 90.00
_cell_angle_beta 90.00
_cell_angle_gamma 90.00
_symmetry_space_group_name_H-M 'P 1'
_symmetry_Int_Tables_number 1
_symmetry_space_group_name_Hall 'P 1'
loop_
_atom_site_label
_atom_site_type_symbol
_atom_site_fract_x
_atom_site_fract_y
_atom_site_fract_z
_atom_site_occupancy
La1 La 0.0000 0.0000 0.0000 1
Sc1 Sc 0.5000 0.5000 0.4987 1
Pb1 Pb 0.0000 0.0000 0.4999 1
Pb2 Pb 0.5000 0.5000 0.9983 1
```

---

# 9
Below is a relaxed MgInCu2 crystal, with properties calculated at the PBE level.

Results
raw total energy	-0.1150	Ha/atom
space group	I-4m2 (119)

CIF file:
```
data_MgInCu2
_chemical_formula_sum 'Mg2 In2 Cu4'
_cell_length_a 3.9948
_cell_length_b 3.9948
_cell_length_c 8.1970
_cell_angle_alpha 90.00
_cell_angle_beta 90.00
_cell_angle_gamma 90.00
_symmetry_space_group_name_H-M 'P 1'
_symmetry_Int_Tables_number 1
_symmetry_space_group_name_Hall 'P 1'
loop_
_atom_site_label
_atom_site_type_symbol
_atom_site_fract_x
_atom_site_fract_y
_atom_site_fract_z
_atom_site_occupancy
Mg1 Mg 0.0000 0.0000 0.0000 1
Mg2 Mg 0.5000 0.5000 0.5000 1
In1 In 0.0000 0.5000 0.2500 1
In2 In 0.5000 0.0000 0.7500 1
Cu1 Cu 0.0000 0.0000 0.5000 1
Cu2 Cu 0.0000 0.5000 0.7500 1
Cu3 Cu 0.5000 0.0000 0.2500 1
Cu4 Cu 0.5000 0.5000 0.0000 1
```

---

# 10
Below is a relaxed LaGe2Pb2 crystal, with properties calculated at the PBE level.

Results
raw total energy	-0.1666	Ha/atom
space group	P4/mbm (127)

CIF file:
```
data_LaGe2Pb2
_chemical_formula_sum 'La2 Ge4 Pb4'
_cell_length_a 7.9161
_cell_length_b 7.9161
_cell_length_c 4.3299
_cell_angle_alpha 90.00
_cell_angle_beta 90.00
_cell_angle_gamma 90.00
_symmetry_space_group_name_H-M 'P 1'
_symmetry_Int_Tables_number 1
_symmetry_space_group_name_Hall 'P 1'
loop_
_atom_site_label
_atom_site_type_symbol
_atom_site_fract_x
_atom_site_fract_y
_atom_site_fract_z
_atom_site_occupancy
La1 La 0.0000 0.0000 0.0000 1
La2 La 0.5000 0.5000 0.0000 1
Ge1 Ge 0.1160 0.3840 0.0000 1
Ge2 Ge 0.3840 0.8840 0.0000 1
Ge3 Ge 0.6160 0.1160 0.0000 1
Ge4 Ge 0.8840 0.6160 0.0000 1
Pb1 Pb 0.1707 0.6707 0.5000 1
Pb2 Pb 0.3293 0.1707 0.5000 1
Pb3 Pb 0.6707 0.8293 0.5000 1
Pb4 Pb 0.8293 0.3293 0.5000 1
```